## RbGa2I3 (PBE)

Data for a relaxed structure of RbGa2I3.

a = 4.9672 Å, b = 4.9794 Å, c = 10.8317 Å
α = 101.26°, β = 101.55°, γ = 89.29°
Positions (direct):
Ga 0.0841 0.0819 0.2111
I 0.6277 0.6437 0.2269
I 0.2268 0.2332 0.5213
Rb 0.4401 0.4333 0.8726
Ga 0.7841 0.7862 0.5331
I 0.9426 0.9358 0.8788

Calculated values
Energy in eV per cell: -15.8
Formation energy without anion corrections in eV/atom: -0.70
Energy relative to the lowest polymorph listed for this composition in meV/atom: 0
Calculated density in g/cm³: 3.91